Here is a geometry-optimized Rb2TlCuCl5 structure from Alexandria via LeMat-Bulk. Energies are from GGA-PBE.

a = 4.8034 Å, b = 4.8034 Å, c = 11.4088 Å
α = 90.00°, β = 90.00°, γ = 90.00°
Sites, in units of the cell vectors:
1 Cl 0.5000 0.0000 0.5000
2 Cl 0.0000 0.0000 0.7281
3 Cl 0.5000 0.5000 0.0000
4 Cl 0.0000 0.5000 0.5000
5 Cl 0.0000 0.0000 0.2719
6 Cu 0.0000 0.0000 0.5000
7 Tl 0.0000 0.0000 0.0000
8 Rb 0.5000 0.5000 0.2884
9 Rb 0.5000 0.5000 0.7116

Properties
Space-group type   P4/mmm (123)
Energy relative to the elements, uncorrected   -1.259 eV/atom
Total DFT energy (no corrections)   -28.966 eV per cell

***

Here is a geometry-optimized Sn2Bi2PdPt7 structure from Alexandria via LeMat-Bulk. Energies are from GGA-PBE.

a = 3.9585 Å, b = 3.9585 Å, c = 16.5382 Å
α = 83.10°, β = 83.10°, γ = 90.00°
Sites, in units of the cell vectors:
1 Pt 0.5000 0.5000 0.0000
2 Pt 0.3008 0.3008 0.3989
3 Pt 0.4378 0.9379 0.1253
4 Pt 0.6992 0.6992 0.6011
5 Pt 0.5622 0.0621 0.8747
6 Pt 0.0621 0.5622 0.8747
7 Pt 0.9379 0.4378 0.1253
8 Sn 0.3818 0.3818 0.2374
9 Sn 0.6182 0.6182 0.7626
10 Bi 0.7872 0.7872 0.4263
11 Bi 0.2128 0.2128 0.5737
12 Pd 0.0000 0.0000 0.0000

Properties
Space-group type   I4/mmm (139)
Total DFT energy (no corrections)   -66.196 eV per cell
ΔE_f   -0.25 eV/atom

***

Here is a geometry-optimized HfCo4Si4 structure from Alexandria via LeMat-Bulk. Energies are from GGA-PBE.

a = 5.5049 Å, b = 5.5049 Å, c = 7.6073 Å
α = 90.00°, β = 90.00°, γ = 90.00°
Sites, in units of the cell vectors:
1 Co 0.0000 0.2711 0.3933
2 Co 0.2711 0.0000 0.6067
3 Co 0.5000 0.2289 0.1067
4 Co 0.5000 0.7711 0.1067
5 Co 0.7711 0.5000 0.8933
6 Co 0.2289 0.5000 0.8933
7 Co 0.7289 0.0000 0.6067
8 Co 0.0000 0.7289 0.3933
9 Si 0.5000 0.2140 0.8096
10 Si 0.2140 0.5000 0.1904
11 Si 0.0000 0.7140 0.6904
12 Si 0.7860 0.5000 0.1904
13 Si 0.5000 0.7860 0.8096
14 Si 0.7140 0.0000 0.3096
15 Si 0.2860 0.0000 0.3096
16 Si 0.0000 0.2860 0.6904
17 Hf 0.5000 0.5000 0.5000
18 Hf 0.0000 0.0000 0.0000

Properties
Space-group type   P4_2/nmc (137)
Energy relative to the elements, uncorrected   -0.461 eV/atom
Total DFT energy (no corrections)   -128.433 eV per cell

***

Here is a geometry-optimized AcDyGe2 structure from Alexandria via LeMat-Bulk. Energies are from GGA-PBE.

a = 3.4496 Å, b = 5.5268 Å, c = 5.5268 Å
α = 90.00°, β = 90.00°, γ = 90.00°
Sites, in units of the cell vectors:
1 Dy 0.5000 0.0000 0.0000
2 Ge 0.0000 0.5000 0.0000
3 Ge 0.0000 0.0000 0.5000
4 Ac 0.5000 0.5000 0.5000

Properties
Space-group type   P4/mmm (123)
Total DFT energy (no corrections)   -19.914 eV per cell
ΔE_f   -0.49 eV/atom

***

Here is a geometry-optimized Cs2TiBrF6 structure from Alexandria via LeMat-Bulk. Energies are from GGA-PBE.

a = 7.1611 Å, b = 7.1611 Å, c = 6.7925 Å
α = 58.19°, β = 58.19°, γ = 90.00°
Site moments in Bohr magnetons follow the coordinates.
Sites, in units of the cell vectors:
1 Cs 0.2500 0.7500 0.5000  0.00
2 Cs 0.7500 0.2500 0.5000  0.00
3 Ti 0.5000 0.5000 0.0000  0.02
4 F 0.6863 0.3137 0.0000  0.00
5 F 0.3137 0.3137 0.0000  0.00
6 F 0.3137 0.6863 0.0000  0.00
7 F 0.2897 0.2897 0.4206  0.06
8 F 0.7103 0.7103 0.5794  0.06
9 F 0.6863 0.6863 0.0000  0.00
10 Br 0.0000 0.0000 0.0000  0.62

Properties
Space-group type   I4/mmm (139)
Energy relative to the elements, uncorrected   -2.793 eV/atom
Total DFT energy (no corrections)   -50.432 eV per cell

***

Here is a geometry-optimized Tm4Al structure from Alexandria via LeMat-Bulk. Energies are from GGA-PBE.

a = 6.7811 Å, b = 5.8417 Å, c = 9.1267 Å
α = 78.40°, β = 68.19°, γ = 57.22°
Sites, in units of the cell vectors:
1 Tm 0.6118 0.3541 0.1643
2 Tm 0.3882 0.6459 0.8357
3 Tm 0.0328 0.7545 0.4139
4 Tm 0.4467 0.2545 0.5861
5 Tm 0.7760 0.8541 0.8357
6 Tm 0.5533 0.7455 0.4139
7 Tm 0.2240 0.1459 0.1643
8 Tm 0.9672 0.2455 0.5861
9 Al 0.0566 0.2500 0.8867
10 Al 0.9434 0.7500 0.1133

Properties
Space-group type   C2/c (15)
Total DFT energy (no corrections)   -43.046 eV per cell
ΔE_f   0.02 eV/atom

***

Here is a geometry-optimized ReWAu2 structure from Alexandria via LeMat-Bulk. Energies are from GGA-PBE.

a = 4.0424 Å, b = 2.8394 Å, c = 6.3949 Å
α = 65.93°, β = 90.00°, γ = 90.00°
Sites, in units of the cell vectors:
1 Re 0.0000 0.5515 0.5176
2 Au 0.0000 0.9969 0.9994
3 Au 0.5000 0.2535 0.2512
4 W 0.5000 0.6981 0.7318

Properties
Space-group type   Pm (6)
Total DFT energy (no corrections)   -30.670 eV per cell
ΔE_f   0.32 eV/atom

***

Here is a geometry-optimized KScNb2 structure from Alexandria via LeMat-Bulk. Energies are from GGA-PBE.

a = 5.0977 Å, b = 5.0977 Å, c = 5.0977 Å
α = 60.00°, β = 60.00°, γ = 60.00°
Site moments in Bohr magnetons follow the coordinates.
Sites, in units of the cell vectors:
1 Sc 0.5000 0.5000 0.5000  0.43
2 Nb 0.2500 0.2500 0.2500  0.94
3 Nb 0.7500 0.7500 0.7500  0.94
4 K 0.0000 0.0000 0.0000  0.03

Properties
Space-group type   Fm-3m (225)
Total DFT energy (no corrections)   -21.691 eV per cell
ΔE_f   1.47 eV/atom

***

Here is a geometry-optimized NaYMg2Bi structure from Alexandria via LeMat-Bulk. Energies are from GGA-PBE.

a = 6.0429 Å, b = 5.8686 Å, c = 6.0429 Å
α = 90.00°, β = 90.00°, γ = 90.00°
Sites, in units of the cell vectors:
1 Na 0.5000 0.5000 0.5000
2 Mg 0.0000 0.0000 0.5000
3 Mg 0.5000 0.0000 0.0000
4 Bi 0.0000 0.5000 0.0000
5 Y 0.0000 0.0000 0.0000

Properties
Space-group type   P4/mmm (123)
Total DFT energy (no corrections)   -12.950 eV per cell
ΔE_f   0.38 eV/atom

***

Here is a geometry-optimized Ac8RuRh3I4 structure from Alexandria via LeMat-Bulk. Energies are from GGA-PBE.

a = 8.7127 Å, b = 10.0515 Å, c = 8.7224 Å
α = 115.86°, β = 119.96°, γ = 90.00°
Sites, in units of the cell vectors:
1 Ac 0.7328 0.6851 0.9591
2 Ac 0.2263 0.6850 0.4526
3 Ac 0.2263 0.6851 0.9591
4 Ac 0.2672 0.3149 0.0409
5 Ac 0.7280 0.6839 0.4560
6 Ac 0.7737 0.3150 0.5474
7 Ac 0.2720 0.3161 0.5440
8 Ac 0.7737 0.3149 0.0409
9 I 0.0000 0.0000 0.0000
10 I 0.5000 0.0000 0.5000
11 I 0.5000 0.0000 0.0000
12 I 0.0000 0.0000 0.5000
13 Ru 0.0000 0.5000 0.0000
14 Rh 0.5000 0.5000 0.5000
15 Rh 0.5000 0.5000 0.0000
16 Rh 0.0000 0.5000 0.5000

Properties
Space-group type   C2/m (12)
Energy relative to the elements, uncorrected   -0.961 eV/atom
Total DFT energy (no corrections)   -85.774 eV per cell

***

Here is a geometry-optimized Pr2Er2Tl3 structure from Alexandria via LeMat-Bulk. Energies are from GGA-PBE.

a = 3.7808 Å, b = 7.0350 Å, c = 9.0243 Å
α = 110.57°, β = 89.93°, γ = 105.56°
Sites, in units of the cell vectors:
1 Pr 0.1100 0.2223 0.4421
2 Pr 0.8900 0.7777 0.5579
3 Tl 0.0000 0.0000 0.0000
4 Tl 0.3045 0.6077 0.7926
5 Tl 0.6955 0.3923 0.2074
6 Er 0.3765 0.7523 0.1770
7 Er 0.6235 0.2477 0.8230

Properties
Space-group type   P-1 (2)
Total DFT energy (no corrections)   -27.060 eV per cell
ΔE_f   -0.18 eV/atom

***

Here is a geometry-optimized Er3TmAl2 structure from Alexandria via LeMat-Bulk. Energies are from GGA-PBE.

a = 5.1994 Å, b = 7.3463 Å, c = 9.1675 Å
α = 113.62°, β = 106.47°, γ = 90.00°
Sites, in units of the cell vectors:
1 Er 0.8195 0.5695 0.6391
2 Er 0.5000 0.7500 0.0000
3 Er 0.5000 0.2500 0.0000
4 Er 0.1805 0.4305 0.3609
5 Er 0.8195 0.0695 0.6391
6 Er 0.1805 0.9305 0.3609
7 Al 0.6544 0.6543 0.3085
8 Al 0.3458 0.8457 0.6915
9 Al 0.3456 0.3457 0.6915
10 Al 0.6542 0.1543 0.3085
11 Tm 0.0000 0.0000 0.0000
12 Tm 0.0000 0.5000 0.0000

Properties
Space-group type   Cmmm (65)
Total DFT energy (no corrections)   -53.761 eV per cell
ΔE_f   -0.21 eV/atom